# CaSi2P

Crystalline CaSi2P at its relaxed geometry (PBE, Alexandria via LeMat-Bulk).

## Properties
Crystal system: monoclinic
Theoretical density (g/cm3): 2.6
Spin magnetization (μB per formula unit): 0.0
E_form (uncorrected) (eV per atom): -0.18
Space group: P2/m (10)

Unit cell a=4.6954 b=4.4282 c=3.9808 alpha=84.10 beta=90.00 gamma=90.00
Fractional positions:
1 Ca 0.5000 0.2500 0.2500
2 P 0.5000 0.7500 0.7500
3 Si 0.0000 0.9036 0.9657
4 Si 0.0000 0.5964 0.5343